Entry 1:
Compound: Rb2Tl2In
Source: the Alexandria database
Functional: GGA-PBE
Structure: optimized geometry

Cell: 5.4206 7.1546 12.0443 Å, 85.35 77.00 67.74°
Positions (direct):
Rb 0.3284 0.6712 0.6721
In 0.3641 0.9151 0.3566
Rb 0.0952 0.6937 0.1159
Rb 0.9048 0.3063 0.8841
Tl 0.3938 0.0962 0.1162
Rb 0.6716 0.3288 0.3279
Tl 0.0980 0.2549 0.5490
In 0.6359 0.0849 0.6434
Tl 0.9020 0.7451 0.4510
Tl 0.6062 0.9038 0.8838

## Properties
As for the space-group type: C2/m (12). The value obtained for the formation enthalpy at 0 K is -37.5 kJ/mol of formula units. The value obtained for the total magnetization is 0.00 μB/cell. The calculation puts the raw total energy at -1.96 eV per atom. The energy above the most stable polymorph in this dataset is 8 meV/atom.

***

Entry 2:
Compound: Li2HgCI
Source: the Alexandria database
Functional: GGA-PBE
Structure: optimized geometry

Cell: 5.3597 5.8618 5.3597 Å, 90.00 90.00 90.00°
Site moments in Bohr magnetons follow the coordinates.
Positions (direct):
Hg 0.0000 0.0000 0.0000  -0.04
Li 0.5000 0.0000 0.0000  -0.03
Li 0.0000 0.0000 0.5000  -0.02
I 0.0000 0.5000 0.0000  0.01
C 0.5000 0.5000 0.5000  1.01

## Properties
The formation energy from raw total energies comes out at 1.36 eV/atom. As for the space-group type: P4/mmm (123). The value obtained for the total magnetization is 1.94 μB/cell. The calculation puts the raw total energy at -1.62 eV per atom.